Record 1
Density functional theory data (PBE) for a relaxed Ba6Ag2PtI3 crystal.

**Formation energy without anion corrections**: -11.050 eV/f.u.
**Total magnetization**: 0.000 μB/cell

abc: 8.2266 14.2422 9.2826
angles: 90.00 107.16 90.00
Space group C2/m (No. 12)
Symmetry-distinct sites (fractional):
Ba 0.2263 0.1569 0.2081 (multiplicity 8)
Ba 0.2437 0.0000 0.7908 (multiplicity 4)
Ag 0.0000 0.3337 0.0000 (multiplicity 4)
Pt 0.0000 0.0000 0.0000 (multiplicity 2)
I 0.0000 0.1690 0.5000 (multiplicity 4)
I 0.0000 0.5000 0.5000 (multiplicity 2)

Record 2
Density functional theory data (PBE) for a relaxed BeCr2Te crystal.

**Formation energy without anion corrections**: 2.079 eV/f.u.
**Offset from the most stable computed form**: 193 meV/atom
**Total magnetization**: 14.654 μB/cell

abc: 6.0352 6.0352 6.0352
angles: 90.00 90.00 90.00
Space group Fm-3m (No. 225)
Symmetry-distinct sites (fractional):
Be 0.0000 0.0000 0.0000 (multiplicity 4)
Cr 0.2500 0.2500 0.2500 (multiplicity 8)
Te 0.0000 0.0000 0.5000 (multiplicity 4)

Record 3
Density functional theory data (PBE) for a relaxed MgBeMo2 crystal.

**Offset from the most stable computed form**: 105 meV/atom
**Total magnetization**: 0.000 μB/cell
**Energy of formation**: 29.22 kJ/mol of atoms

abc: 2.6908 2.6908 8.2416
angles: 90.00 90.00 90.00
Space group P4mm (No. 99)
Symmetry-distinct sites (fractional):
Mg 0.0000 0.0000 0.0000 (multiplicity 1)
Be 0.5000 0.5000 0.7648 (multiplicity 1)
Mo 0.0000 0.0000 0.5599 (multiplicity 1)
Mo 0.5000 0.5000 0.2796 (multiplicity 1)

Record 4
Density functional theory data (PBE) for a relaxed Zr4InSi crystal.

**Formation energy without anion corrections**: 1.742 eV/f.u.
**Total magnetization**: 0.000 μB/cell

abc: 8.1186 8.1186 8.1186
angles: 90.00 90.00 90.00
Space group F-43m (No. 216)
Symmetry-distinct sites (fractional):
Zr 0.1249 0.1249 0.1249 (multiplicity 16)
In 0.2500 0.2500 0.7500 (multiplicity 4)
Si 0.0000 0.0000 0.5000 (multiplicity 4)

Record 5
Density functional theory data (PBE) for a relaxed Pt3Au2 crystal.

**Offset from the most stable computed form**: 0 meV/atom
**Total magnetization**: 0.000 μB/cell
**Energy of formation**: -0.25 kJ/mol of atoms

abc: 2.8352 2.8352 35.5273
angles: 90.00 90.00 120.00
Space group R-3m (No. 166, hexagonal axes)
Symmetry-distinct sites (fractional):
Pt 0.0000 0.0000 0.0000 (multiplicity 3)
Pt 0.0000 0.0000 0.1991 (multiplicity 6)
Au 0.0000 0.0000 0.4004 (multiplicity 6)

Record 6
Density functional theory data (PBE) for a relaxed HoPuSn2 crystal.

**Total magnetization**: 11.801 μB/cell
**Energy of formation**: -43.84 kJ/mol of atoms

abc: 4.2599 4.6329 11.4333
angles: 90.00 90.00 90.00
Space group Amm2 (No. 38)
Symmetry-distinct sites (fractional):
Ho 0.0000 0.0000 0.0000 (multiplicity 2)
Pu 0.5000 0.0000 0.7357 (multiplicity 2)
Sn 0.0000 0.0000 0.2772 (multiplicity 2)
Sn 0.5000 0.0000 0.4619 (multiplicity 2)

Record 7
Density functional theory data (PBE) for a relaxed Tl2P2Se crystal.

**Formation energy without anion corrections**: 0.451 eV/f.u.
**Total magnetization**: 0.000 μB/cell

abc: 3.3702 3.3702 21.5077
angles: 90.00 90.00 90.00
Space group I4/mmm (No. 139)
Symmetry-distinct sites (fractional):
Tl 0.0000 0.0000 0.1043 (multiplicity 4)
P 0.0000 0.5000 0.2500 (multiplicity 4)
Se 0.0000 0.0000 0.5000 (multiplicity 2)

Record 8
Density functional theory data (PBE) for a relaxed RbIn2PbBr5 crystal.

**Formation energy without anion corrections**: -8.675 eV/f.u.
**Total magnetization**: 0.000 μB/cell

abc: 4.5618 19.3023 17.2782
angles: 90.00 90.00 90.00
Space group Cmc2_1 (No. 36)
Symmetry-distinct sites (fractional):
Rb 0.0000 0.0612 0.0000 (multiplicity 4)
In 0.0000 0.3522 0.8209 (multiplicity 4)
In 0.0000 0.4467 0.2234 (multiplicity 4)
Pb 0.0000 0.2445 0.6089 (multiplicity 4)
Br 0.0000 0.0334 0.3354 (multiplicity 4)
Br 0.0000 0.0897 0.5990 (multiplicity 4)
Br 0.0000 0.2397 0.9904 (multiplicity 4)
Br 0.0000 0.2639 0.2317 (multiplicity 4)
Br 0.0000 0.4031 0.6390 (multiplicity 4)

> total magnetization of number 8 (RbIn2PbBr5)?

0.000 μB/cell

> Look up the total magnetization of the fourth one.

0.000 μB/cell

> What is the total magnetization in the fourth record?

0.000 μB/cell